No. 1
An optimized crystal structure of SbPPb, computed with PBE.

Output
- formation energy without anion corrections (eV per atom) = 0.220
- symmetry = No. 107
- D(E_F) (states/eV/atom) = 0.5212

Cell lengths 6.1444, 6.1444, 6.1444 Å; angles 145.14, 145.14, 50.12 degrees
Closest atoms and distances in Å follow each position.
Sites, in units of the cell vectors:
P  0.0274  0.0274  0.0000  4 Sb 2.84
Sb  0.6284  0.6284  0.0000  4 P 2.84, 1 Pb 3.16
Pb  0.3442  0.3442  0.0000  5 Sb 3.16-3.54, 5 P 3.31-3.53

***

No. 2
An optimized crystal structure of KNd2Cu, computed with PBE.

Output
- symmetry = No. 166
- D(E_F) (states/eV/atom) = 1.1897
- energy relative to the elements (eV per atom) = 0.23

Cell lengths 3.8135, 3.8135, 11.8873 Å; angles 80.77, 80.77, 60.00 degrees
Closest atoms and distances in Å follow each position.
Sites, in units of the cell vectors:
Nd  0.8874  0.8874  0.3378  3 Cu 2.90
Nd  0.1126  0.1126  0.6622  3 Cu 2.90
Cu  0.5000  0.5000  0.5000  6 Nd 2.90
K  0.0000  0.0000  0.0000  6 K 3.81, 2 Nd 3.95

***

No. 3
An optimized crystal structure of Ca2PrAu, computed with PBE.

Output
- symmetry = No. 123
- D(E_F) (states/eV/atom) = 1.3152
- energy relative to the elements (eV per atom) = -0.35

Cell lengths 3.6164, 3.6164, 9.5776 Å; angles 90.00, 90.00, 90.00 degrees
Closest atoms and distances in Å follow each position.
Sites, in units of the cell vectors:
Pr  0.5000  0.5000  0.5000  4 Pr 3.62, 8 Ca 3.93
Ca  0.0000  0.0000  0.8121  4 Au 3.13
Ca  0.0000  0.0000  0.1879  4 Au 3.13
Au  0.5000  0.5000  0.0000  8 Ca 3.13

***

Number 1: total DFT energy (no corrections) -12.6 eV per cell, M_tot 0.00 μB/f.u.. Number 2: total DFT energy (no corrections) -13.8 eV per cell, M_tot 0.00 μB/f.u.. Number 3: total DFT energy (no corrections) -13.5 eV per cell, M_tot 0.00 μB/f.u..